No. 1
Here is an optimized crystal structure of Pr5TmTh from the Alexandria database. Energies are from PBE-GGA.

The structure belongs to space group Immm (No. 71); the cell edges are 6.058, 8.964 and 12.372 Å and the angles 90.00°, 90.00° and 90.00°. The distinct sites, in fractional coordinates, are Pr at (0.000, 0.000, 0.000), Pr at (0.000, 0.171, 0.500), Pr at (0.000, 0.500, 0.248), Tm at (0.000, 0.500, 0.000) and Th at (0.000, 0.500, 0.500).

The density of states at the Fermi level comes out at 28.2 states/eV per cell. Its magnetic moment is 0.0 μB per formula unit. The density comes out at 5464 kg/m3. For the raw total energy, the calculation gives -4.1034 eV per atom.


No. 2
Here is an optimized crystal structure of PrTm2Th2 from the Alexandria database. Energies are from PBE-GGA.

The structure belongs to space group P-3m1 (No. 164); the cell edges are 3.5651, 3.5651 and 14.6062 Å and the angles 90.00°, 90.00° and 120.00°. The distinct sites, in fractional coordinates, are Pr at (0.0000, 0.0000, 0.0000), Tm at (0.3333, 0.6667, 0.7989) and Th at (0.3333, 0.6667, 0.4006).

The density of states at the Fermi level comes out at 6.3 states/eV per cell. Its magnetic moment is 0.0 μB per formula unit. The density comes out at 9738 kg/m3. For the raw total energy, the calculation gives -5.6785 eV per atom.


No. 3
Here is an optimized crystal structure of Pr4Tm8Th from the Alexandria database. Energies are from PBE-GGA.

The structure belongs to space group R-3m (No. 166, hexagonal axes); the cell edges are 11.0164, 11.0164 and 13.4427 Å and the angles 90.00°, 90.00° and 120.00°. The distinct sites, in fractional coordinates, are Pr at (0.0000, 0.0000, 0.0000), Pr at (0.0000, 0.5000, 0.0000), Tm at (0.0000, 0.0000, 0.2411), Tm at (0.0115, 0.5057, 0.7463) and Th at (0.0000, 0.0000, 0.5000).

The density of states at the Fermi level comes out at 74.9 states/eV per cell. Its magnetic moment is 1.1 μB per formula unit. The density comes out at 7571 kg/m3. For the raw total energy, the calculation gives -4.2677 eV per atom.


No. 4
Here is an optimized crystal structure of PrTm12Th6 from the Alexandria database. Energies are from PBE-GGA.

The structure belongs to space group R-3m (No. 166, hexagonal axes); the cell edges are 14.8177, 14.8177 and 10.3753 Å and the angles 90.00°, 90.00° and 120.00°. The distinct sites, in fractional coordinates, are Pr at (0.0000, 0.0000, 0.0000), Tm at (0.0000, 0.3881, 0.5000), Tm at (0.0796, 0.1592, 0.2514) and Th at (0.0793, 0.5396, 0.2150).

The density of states at the Fermi level comes out at 88.3 states/eV per cell. Its magnetic moment is 0.0 μB per formula unit. The density comes out at 8990 kg/m3. For the raw total energy, the calculation gives -4.9030 eV per atom.


No. 5
Here is an optimized crystal structure of Pr6TmTh2 from the Alexandria database. Energies are from PBE-GGA.

The structure belongs to space group C2/m (No. 12); the cell edges are 11.595, 5.182 and 10.969 Å and the angles 90.00°, 109.06° and 90.00°. The distinct sites, in fractional coordinates, are Pr at (0.001, 0.000, 0.174), Pr at (0.169, 0.500, 0.391), Pr at (0.172, 0.500, 0.059), Tm at (0.000, 0.000, 0.500) and Th at (0.162, 0.500, 0.718).

The density of states at the Fermi level comes out at 28.4 states/eV per cell. Its magnetic moment is 0.0 μB per formula unit. The density comes out at 7881 kg/m3. For the raw total energy, the calculation gives -5.2669 eV per atom.


No. 6
Here is an optimized crystal structure of Pr3Tm4Th from the Alexandria database. Energies are from PBE-GGA.

The structure belongs to space group Immm (No. 71); the cell edges are 3.426, 11.663 and 13.188 Å and the angles 90.00°, 90.00° and 90.00°. The distinct sites, in fractional coordinates, are Pr at (0.000, 0.000, 0.000), Pr at (0.000, 0.500, 0.232), Tm at (0.000, 0.251, 0.366) and Th at (0.000, 0.000, 0.500).

The density of states at the Fermi level comes out at 24.4 states/eV per cell. Its magnetic moment is 0.0 μB per formula unit. The density comes out at 8385 kg/m3. For the raw total energy, the calculation gives -4.7986 eV per atom.


No. 7
Here is an optimized crystal structure of Pr3TmTh2 from the Alexandria database. Energies are from PBE-GGA.

The structure belongs to space group Cmmm (No. 65); the cell edges are 5.123, 15.322 and 5.169 Å and the angles 90.00°, 90.00° and 90.00°. The distinct sites, in fractional coordinates, are Pr at (0.000, 0.000, 0.000), Pr at (0.000, 0.169, 0.500), Tm at (0.000, 0.500, 0.500) and Th at (0.000, 0.333, 0.000).

The density of states at the Fermi level comes out at 16.4 states/eV per cell. Its magnetic moment is 0.0 μB per formula unit. The density comes out at 8642 kg/m3. For the raw total energy, the calculation gives -5.5348 eV per atom.


No. 8
Here is an optimized crystal structure of PrTm7Th3 from the Alexandria database. Energies are from PBE-GGA.

The structure belongs to space group P3m1 (No. 156); the cell edges are 7.0239, 7.0239 and 8.5106 Å and the angles 90.00°, 90.00° and 120.00°. The distinct sites, in fractional coordinates, are Pr at (0.0000, 0.0000, 0.0000), Tm at (0.0028, 0.5014, 0.0036), Tm at (0.3329, 0.1665, 0.3400), Tm at (0.3333, 0.6667, 0.3391) and Th at (0.1682, 0.3365, 0.6683).

The density of states at the Fermi level comes out at 14.5 states/eV per cell. Its magnetic moment is 0.0 μB per formula unit. The density comes out at 9223 kg/m3. For the raw total energy, the calculation gives -5.0857 eV per atom.


No. 9
Here is an optimized crystal structure of PrTm3Th2 from the Alexandria database. Energies are from PBE-GGA.

The structure belongs to space group Cmcm (No. 63); the cell edges are 3.592, 18.490 and 11.539 Å and the angles 90.00°, 90.00° and 90.00°. The distinct sites, in fractional coordinates, are Pr at (0.000, 0.220, 0.250), Tm at (0.000, 0.106, 0.750), Tm at (0.000, 0.336, 0.006), Th at (0.000, 0.000, 0.000) and Th at (0.000, 0.445, 0.750).

The density of states at the Fermi level comes out at 34.1 states/eV per cell. Its magnetic moment is 0.0 μB per formula unit. The density comes out at 9635 kg/m3. For the raw total energy, the calculation gives -5.4769 eV per atom.


No. 10
Here is an optimized crystal structure of PrTmTh2 from the Alexandria database. Energies are from PBE-GGA.

The structure belongs to space group P2_1/m (No. 11); the cell edges are 5.043, 5.087 and 10.197 Å and the angles 90.00°, 90.08° and 90.00°. The distinct sites, in fractional coordinates, are Pr at (0.001, 0.250, 0.368), Tm at (0.500, 0.250, 0.632), Th at (0.000, 0.250, 0.878) and Th at (0.500, 0.250, 0.120).

The density of states at the Fermi level comes out at 12.8 states/eV per cell. Its magnetic moment is 0.0 μB per formula unit. The density comes out at 9825 kg/m3. For the raw total energy, the calculation gives -5.9925 eV per atom.


No. 11
Here is an optimized crystal structure of Pr4TmTh from the Alexandria database. Energies are from PBE-GGA.

The structure belongs to space group C2/m (No. 12); the cell edges are 11.757, 3.488 and 11.751 Å and the angles 90.00°, 118.97° and 90.00°. The distinct sites, in fractional coordinates, are Pr at (0.152, 0.000, 0.341), Pr at (0.161, 0.500, 0.843), Tm at (0.000, 0.000, 0.000) and Th at (0.000, 0.500, 0.500).

The density of states at the Fermi level comes out at 21.7 states/eV per cell. Its magnetic moment is 0.0 μB per formula unit. The density comes out at 7598 kg/m3. For the raw total energy, the calculation gives -4.9653 eV per atom.


No. 12
Here is an optimized crystal structure of Pr4Tm3Th2 from the Alexandria database. Energies are from PBE-GGA.

The structure belongs to space group P3m1 (No. 156); the cell edges are 3.5868, 3.5868 and 27.1225 Å and the angles 90.00°, 90.00° and 120.00°. The distinct sites, in fractional coordinates, are Pr at (0.0000, 0.0000, 0.0000), Pr at (0.0000, 0.0000, 0.2130), Pr at (0.3333, 0.6667, 0.3320), Pr at (0.3333, 0.6667, 0.5476), Tm at (0.0000, 0.0000, 0.4384), Tm at (0.3333, 0.6667, 0.1060), Tm at (0.3333, 0.6667, 0.7660), Th at (0.0000, 0.0000, 0.6595) and Th at (0.0000, 0.0000, 0.8710).

The density of states at the Fermi level comes out at 15.6 states/eV per cell. Its magnetic moment is 0.0 μB per formula unit. The density comes out at 8432 kg/m3. For the raw total energy, the calculation gives -5.1823 eV per atom.


| no. | E_form (kJ/mol of formula units) |
| --- | --- |
| 1 | 682 |
| 2 | 16 |
| 3 | 659 |
| 4 | 946 |
| 5 | 57 |
| 6 | 121 |
| 7 | 43 |
| 8 | 231 |
| 9 | 17 |
| 10 | 12 |
| 11 | 117 |
| 12 | 71 |